Material: KMnIn2
Method: DFT, GGA-PBE
State: relaxed

Cell: 6.6303 6.6303 6.6303 Å, 151.86 125.68 62.29°
With the nearest neighbours (Å) after each atom.
Atoms (fractional coordinates):
K: 0.7500 0.2500 0.5000  2 K 3.22, 4 Mn 3.43
In: 0.4575 0.4575 0.0000  2 Mn 2.85
In: 0.0425 0.0425 0.0000  2 Mn 2.85
Mn: 0.2500 0.7500 0.5000  4 In 2.85

ΔE_f (meV per atom): 355.7
Energy relative to the lowest polymorph listed for this composition (eV per formula unit): 0.927
Spin magnetization (μB per formula unit): 4.0
Space group: Immm, No. 71